# 1
Crystalline PmTmCoBr at its relaxed geometry. Source: Alexandria, functional PBE.

Geometry as extended XYZ:
```
4
Lattice="1.9361 1.1178 7.7046 -1.9361 1.1178 7.7046 0.0000 -2.2357 7.7046" Properties=species:S:1:pos:R:3 pbc="T T T"
Pm 0.0000 0.0000 0.0000
Tm 0.0000 0.0000 18.3259
Co 0.0000 0.0000 9.2103
Br 0.0000 0.0000 5.2081
```

Results
As for the total magnetic moment: 0.00 μB per formula unit. As for the total energy: -5.21 eV per atom. The calculation puts the uncorrected formation energy at -0.71 eV per atom. The mass density comes out at 7.51 g/cm³.


# 2
Crystalline Zn2GeRuN at its relaxed geometry. Source: Alexandria, functional PBE.

Geometry as extended XYZ:
```
5
Lattice="4.9237 0.0000 0.0000 0.0000 4.9237 0.0000 0.0000 0.0000 3.5903" Properties=species:S:1:pos:R:3 pbc="T T T"
Zn 0.0000 2.4618 0.0000
Zn 2.4618 0.0000 0.0000
Ge 0.0000 0.0000 0.0000
Ru 2.4618 2.4618 1.7952
N 0.0000 0.0000 1.7952
```

Results
As for the total magnetic moment: 2.11 μB per formula unit. As for the total energy: -3.62 eV per atom. The calculation puts the uncorrected formation energy at 1.34 eV per atom. The mass density comes out at 6.08 g/cm³.


# 3
Crystalline MnFe2BrN at its relaxed geometry. Source: Alexandria, functional PBE.

Geometry as extended XYZ:
```
5
Lattice="4.8066 0.0000 0.0000 0.0000 4.8066 0.0000 0.0000 0.0000 3.4985" Properties=species:S:1:pos:R:3 pbc="T T T"
Mn 0.0000 0.0000 0.0000
Fe 0.0000 2.4033 0.0000
Fe 2.4033 0.0000 0.0000
Br 2.4033 2.4033 1.7492
N 0.0000 0.0000 1.7492
```

Results
As for the total magnetic moment: 8.40 μB per formula unit. As for the total energy: -6.41 eV per atom. The calculation puts the uncorrected formation energy at 0.81 eV per atom. The mass density comes out at 5.35 g/cm³.


# 4
Crystalline SmWS2 at its relaxed geometry. Source: Alexandria, functional PBE.

Geometry as extended XYZ:
```
4
Lattice="1.6389 0.9462 8.8405 -1.6389 0.9462 8.8405 0.0000 -1.8925 8.8405" Properties=species:S:1:pos:R:3 pbc="T T T"
Sm 0.0000 0.0000 0.0000
W 0.0000 0.0000 13.2607
S 0.0000 0.0000 2.8392
S 0.0000 0.0000 23.6823
```

Results
As for the total magnetic moment: 0.00 μB per formula unit. As for the total energy: -6.88 eV per atom. The calculation puts the uncorrected formation energy at -0.40 eV per atom. The mass density comes out at 8.04 g/cm³.


# 5
Crystalline Tb2Nd2TmSc2 at its relaxed geometry. Source: Alexandria, functional PBE.

Geometry as extended XYZ:
```
7
Lattice="8.3241 -1.7133 0.0000 8.3241 1.7133 0.0000 -4.2602 0.0000 7.4605" Properties=species:S:1:pos:R:3 pbc="T T T"
Tb 2.2372 0.0000 2.1142
Tb 10.1509 0.0000 5.3463
Nd 4.7574 0.0000 4.2452
Nd 7.6306 0.0000 3.2153
Tm 8.3241 0.0000 0.0000
Sc -1.1495 0.0000 6.3595
Sc 13.5376 0.0000 1.1010
```

Results
As for the total magnetic moment: 0.00 μB per formula unit. As for the total energy: -5.03 eV per atom. The value obtained for the energy relative to the elements is 0.10 eV/atom. The mass density comes out at 6.75 g/cm³.


# 6
Crystalline CaY2TmHg4 at its relaxed geometry. Source: Alexandria, functional PBE.

Geometry as extended XYZ:
```
8
Lattice="2.6290 1.5178 8.5938 -2.6290 1.5178 8.5938 0.0000 -3.0357 8.5938" Properties=species:S:1:pos:R:3 pbc="T T T"
Ca 0.0000 0.0000 0.0000
Y 0.0000 0.0000 6.4724
Y 0.0000 0.0000 19.3089
Tm 0.0000 0.0000 12.8906
Hg 0.0000 0.0000 3.2669
Hg 0.0000 0.0000 9.7183
Hg 0.0000 0.0000 16.0630
Hg 0.0000 0.0000 22.5144
```

Results
As for the total magnetic moment: 0.00 μB per formula unit. As for the total energy: -3.10 eV per atom. The value obtained for the energy relative to the elements is -0.52 eV/atom. The mass density comes out at 9.60 g/cm³.


# 7
Crystalline Dy2Ga2Co15 at its relaxed geometry. Source: Alexandria, functional PBE.

Geometry as extended XYZ:
```
19
Lattice="4.1782 2.4123 4.0709 -4.1782 2.4123 4.0709 0.0000 -4.8245 4.0709" Properties=species:S:1:pos:R:3 pbc="T T T"
Dy 0.0000 0.0000 1.8207
Dy 0.0000 0.0000 10.3920
Ga 0.0000 0.0000 4.8005
Ga 0.0000 0.0000 7.4122
Co -2.0891 -1.2061 4.0709
Co 0.0000 -2.4295 3.8626
Co -2.1040 1.2148 3.8626
Co -1.2081 -2.0925 6.1063
Co -2.4162 0.0000 6.1063
Co -2.1040 -1.2148 8.3500
Co -2.0891 1.2061 8.1417
Co 1.2081 -2.0925 6.1063
Co 0.0000 2.4123 4.0709
Co -1.2081 2.0925 6.1063
Co 2.1040 1.2148 3.8626
Co 2.4162 0.0000 6.1063
Co 1.2081 2.0925 6.1063
Co 2.1040 -1.2148 8.3500
Co 0.0000 2.4295 8.3500
```

Results
As for the total magnetic moment: 20.76 μB per formula unit. As for the total energy: -6.54 eV per atom. The value obtained for the energy relative to the elements is -0.13 eV/atom. The mass density comes out at 9.10 g/cm³.


# 8
Crystalline Tb2Ge2Rh5Au at its relaxed geometry. Source: Alexandria, functional PBE.

Geometry as extended XYZ:
```
20
Lattice="9.7428 0.0000 0.0000 0.0000 9.7428 0.0000 0.0000 0.0000 3.6396" Properties=species:S:1:pos:R:3 pbc="T T T"
Tb 1.7018 3.1696 0.0000
Tb 3.1696 8.0410 0.0000
Tb 6.5732 1.7018 0.0000
Tb 8.0410 6.5732 0.0000
Ge 1.2118 6.0832 0.0000
Ge 3.6596 1.2118 0.0000
Ge 6.0832 8.5310 0.0000
Ge 8.5310 3.6596 0.0000
Rh 0.0000 4.8714 1.8198
Rh 0.6579 7.6969 1.8198
Rh 2.0459 0.6579 1.8198
Rh 2.8255 5.5293 1.8198
Rh 4.2135 2.8255 1.8198
Rh 4.8714 0.0000 1.8198
Rh 5.5293 6.9173 1.8198
Rh 6.9173 4.2135 1.8198
Rh 7.6969 9.0849 1.8198
Rh 9.0849 2.0459 1.8198
Au 0.0000 0.0000 0.0000
Au 4.8714 4.8714 0.0000
```

Results
As for the total magnetic moment: 0.00 μB per formula unit. As for the total energy: -6.57 eV per atom. The value obtained for the energy relative to the elements is -0.72 eV/atom. The mass density comes out at 11.29 g/cm³.


# 9
Crystalline Sr2Si3GeAu4 at its relaxed geometry. Source: Alexandria, functional PBE.

Geometry as extended XYZ:
```
10
Lattice="4.4709 0.0000 0.0000 0.0000 4.4709 0.0000 0.0000 0.0000 10.4868" Properties=species:S:1:pos:R:3 pbc="T T T"
Sr 0.0000 2.2355 2.5904
Sr 2.2355 0.0000 7.8965
Si 0.0000 2.2355 9.1471
Si 2.2355 0.0000 1.3398
Si 2.2355 2.2355 5.2434
Ge 0.0000 0.0000 5.2434
Au 0.0000 0.0000 0.0000
Au 0.0000 2.2355 6.6584
Au 2.2355 0.0000 3.8284
Au 2.2355 2.2355 0.0000
```

Results
As for the total magnetic moment: 0.00 μB per formula unit. As for the total energy: -4.21 eV per atom. The calculation puts the uncorrected formation energy at -0.47 eV per atom. The mass density comes out at 8.87 g/cm³.


# 10
Crystalline LiDy2RuC at its relaxed geometry. Source: Alexandria, functional PBE.

Geometry as extended XYZ:
```
5
Lattice="4.9921 0.0000 0.0000 0.0000 4.9921 0.0000 0.0000 0.0000 3.9101" Properties=species:S:1:pos:R:3 pbc="T T T"
Li 0.0000 0.0000 0.0000
Dy 0.0000 2.4961 1.9551
Dy 2.4961 0.0000 1.9551
Ru 2.4961 2.4961 0.0000
C 2.4961 2.4961 1.9551
```

Results
As for the total magnetic moment: 0.00 μB per formula unit. As for the total energy: -6.19 eV per atom. The value obtained for the energy relative to the elements is -0.27 eV/atom. The mass density comes out at 7.58 g/cm³.


# 11
Crystalline SmErCo at its relaxed geometry. Source: Alexandria, functional PBE.

Geometry as extended XYZ:
```
3
Lattice="3.9009 0.0000 0.0000 -1.9505 3.3783 0.0000 0.0000 0.0000 6.1731" Properties=species:S:1:pos:R:3 pbc="T T T"
Sm 0.0000 0.0000 0.0000
Er 0.0000 2.2522 2.8669
Co 1.9505 1.1261 1.4727
```

Results
As for the total magnetic moment: 0.00 μB per formula unit. As for the total energy: -5.50 eV per atom. The value obtained for the energy relative to the elements is -0.04 eV/atom. The mass density comes out at 7.69 g/cm³.


# 12
Crystalline YAsPt at its relaxed geometry. Source: Alexandria, functional PBE.

Geometry as extended XYZ:
```
6
Lattice="4.2910 0.0000 0.0000 -2.1455 3.7161 0.0000 0.0000 0.0000 7.7851" Properties=species:S:1:pos:R:3 pbc="T T T"
Y 0.0000 0.0000 0.0000
Y 0.0000 0.0000 3.8925
As 0.0000 2.4774 1.9463
As 2.1455 1.2387 5.8388
Pt 0.0000 2.4774 5.8388
Pt 2.1455 1.2387 1.9463
```

Results
As for the total magnetic moment: 0.00 μB per formula unit. As for the total energy: -6.94 eV per atom. The value obtained for the energy relative to the elements is -1.22 eV/atom. The mass density comes out at 9.60 g/cm³.